Version i
Density functional theory data (PBE) for a relaxed Tl2Cl crystal.

Results
Total moment   0.00 μB per formula unit
Calculated density   7.92 g cm⁻³
Crystal system   hexagonal

a = 8.9736 Å, b = 8.9736 Å, c = 4.0063 Å
α = 90.00°, β = 90.00°, γ = 120.00°
Closest atoms and distances in Å follow each position.
Space group P-62m (No. 189)
Unique sites:
Tl  0.0000  0.2792  0.0000  4 Cl 3.21-3.26, 2 Tl 3.59
Tl  0.0000  0.6114  0.5000  5 Cl 3.42-3.49, 6 Tl 3.59-3.70
Cl  0.0000  0.0000  0.5000  9 Tl 3.21-3.49
Cl  0.3333  0.6667  0.0000  9 Tl 3.26-3.42

***

Version ii
Density functional theory data (PBE) for a relaxed Tl2Cl crystal.

Results
Total moment   0.00 μB per formula unit
Calculated density   8.10 g cm⁻³
Crystal system   trigonal

a = 3.7594 Å, b = 3.7594 Å, c = 7.4373 Å
α = 90.00°, β = 90.00°, γ = 120.00°
Closest atoms and distances in Å follow each position.
Space group P-3m1 (No. 164)
Unique sites:
Tl  0.3333  0.6667  0.3025  3 Cl 3.13
Cl  0.0000  0.0000  0.0000  6 Tl 3.13

***

Version iii
Density functional theory data (PBE) for a relaxed Tl2Cl crystal.

Results
Total moment   0.00 μB per formula unit
Calculated density   7.93 g cm⁻³
Crystal system   monoclinic

a = 11.8414 Å, b = 3.8706 Å, c = 8.8550 Å
α = 90.00°, β = 113.59°, γ = 90.00°
Closest atoms and distances in Å follow each position.
Space group C2/m (No. 12)
Unique sites:
Tl  0.0600  0.0000  0.3347  5 Cl 3.10-3.43
Tl  0.1541  0.5000  0.0442  3 Tl 3.31-3.41, 3 Cl 3.34-3.65
Cl  0.1715  0.5000  0.6420  7 Tl 3.10-3.43

***

It comes down to version iii, which is 37 meV/atom more stable than the next structure.

***

Version i
Density functional theory data (PBE) for a relaxed Tl5Cl3 crystal.

Results
Total moment   0.00 μB per formula unit
Calculated density   7.31 g cm⁻³
Crystal system   hexagonal

a = 9.3598 Å, b = 9.3598 Å, c = 6.7555 Å
α = 90.00°, β = 90.00°, γ = 120.00°
Closest atoms and distances in Å follow each position.
Space group P6_3/mcm (No. 193)
Unique sites:
Tl  0.0000  0.2165  0.2500  2 Cl 3.15, 2 Tl 3.51
Tl  0.3333  0.6667  0.0000  6 Cl 3.35, 2 Tl 3.38
Cl  0.0000  0.3882  0.7500  6 Tl 3.15-3.35

***

Version ii
Density functional theory data (PBE) for a relaxed Tl5Cl3 crystal.

Results
Total moment   0.00 μB per formula unit
Calculated density   7.75 g cm⁻³
Crystal system   orthorhombic

a = 9.3705 Å, b = 10.2213 Å, c = 5.0498 Å
α = 90.00°, β = 90.00°, γ = 90.00°
Closest atoms and distances in Å follow each position.
Space group Cmmm (No. 65)
Unique sites:
Tl  0.0000  0.0000  0.0000  4 Cl 3.29, 4 Tl 3.47
Tl  0.2125  0.5000  0.5000  6 Cl 3.22-3.60
Tl  0.2500  0.2500  0.0000  6 Tl 3.47-3.61, 6 Cl 3.47
Cl  0.0000  0.2069  0.5000  10 Tl 3.29-3.60
Cl  0.0000  0.5000  0.0000  8 Tl 3.22-3.47

***

It comes down to version ii, which is 27 meV/atom more stable than the next structure.

***

Version i
Density functional theory data (PBE) for a relaxed Tl5Cl4 crystal.

Results
Total moment   0.00 μB per formula unit
Calculated density   6.95 g cm⁻³
Crystal system   hexagonal

a = 9.7018 Å, b = 9.7018 Å, c = 6.8226 Å
α = 90.00°, β = 90.00°, γ = 120.00°
Closest atoms and distances in Å follow each position.
Space group P6_3/mcm (No. 193)
Unique sites:
Tl  0.0000  0.2694  0.2500  5 Cl 3.12-3.45
Tl  0.3333  0.6667  0.0000  2 Tl 3.41, 6 Cl 3.50
Cl  0.0000  0.0000  0.0000  6 Tl 3.12, 2 Cl 3.41
Cl  0.0000  0.3747  0.7500  9 Tl 3.25-3.56

***

Version ii
Density functional theory data (PBE) for a relaxed Tl5Cl4 crystal.

Results
Total moment   0.00 μB per formula unit
Calculated density   5.73 g cm⁻³
Crystal system   tetragonal

a = 12.3659 Å, b = 12.3659 Å, c = 4.4109 Å
α = 90.00°, β = 90.00°, γ = 90.00°
Closest atoms and distances in Å follow each position.
Space group I4/mmm (No. 139)
Unique sites:
Tl  0.0000  0.0000  0.0000  4 Cl 3.09
Tl  0.1670  0.1670  0.5000  4 Cl 3.19
Cl  0.0000  0.2502  0.0000  5 Tl 3.09-3.19

***

It comes down to version i, which is 29 meV/atom more stable than the next structure.